## BaTl2VF6 (GGA+U)

Data for a relaxed BaTl2VF6 crystal.

Results
- volume (Å³/atom) = 20.41
- VASP energy (eV/cell) = -103.37

```
data_BaTl2VF6
_cell_length_a 6.2440
_cell_length_b 9.2118
_cell_length_c 7.0973
_cell_angle_alpha 90.00
_cell_angle_beta 90.00
_cell_angle_gamma 90.00
_space_group_name_H-M_alt 'P m m n'
_space_group_IT_number 59
loop_
_space_group_symop_operation_xyz
'x,y,z'
'-x,-y,-z'
'-x+1/2,-y+1/2,z'
'x+1/2,y+1/2,-z'
'x+1/2,-y,-z'
'-x+1/2,y,z'
'-x,y+1/2,-z'
'x,-y+1/2,z'
loop_
_atom_site_label
_atom_site_type_symbol
_atom_site_fract_x
_atom_site_fract_y
_atom_site_fract_z
Ba1 Ba 0.2500 0.2500 0.1914
Tl1 Tl 0.2500 0.0419 0.6788
V1 V 0.2500 0.7500 0.2945
F1 F 0.0010 0.2500 0.4981
F2 F 0.0020 0.7500 0.0929
F3 F 0.2500 0.5176 0.3048
```